No. 1
{
  "formula": "CaScS2",
  "functional": "PBE-GGA",
  "state": "relaxed",
  "lattice": [[0.000, 3.363, 3.363], [3.363, 0.000, 3.363], [3.363, 3.363, 0.000]],
  "species": ["Ca", "Sc", "S", "S"],
  "fractional_positions": [[0.000, 0.000, 0.000], [0.500, 0.500, 0.500], [0.250, 0.250, 0.250], [0.750, 0.750, 0.750]],
  "formation_energy_uncorrected_mev_per_atom": -1499
}

No. 2
{
  "formula": "RbFe2C",
  "functional": "PBE-GGA",
  "state": "relaxed",
  "lattice": [[-3.048, 3.048, 4.307], [3.048, -3.048, 4.307], [3.048, 3.048, -4.307]],
  "species": ["Rb", "Rb", "Fe", "Fe", "Fe", "Fe", "C", "C"],
  "fractional_positions": [[0.375, 0.625, 0.750], [0.625, 0.375, 0.250], [0.000, 0.000, 0.000], [0.000, 0.000, 0.500], [0.000, 0.500, 0.000], [0.500, 0.000, 0.500], [0.125, 0.875, 0.250], [0.875, 0.125, 0.750]],
  "e_form_ev_per_atom": 0.783
}

No. 3
{
  "formula": "Ta3CuRh",
  "functional": "PBE-GGA",
  "state": "relaxed",
  "lattice": [[4.579, 0.000, 0.000], [0.000, 4.579, 0.000], [0.000, 0.000, 4.579]],
  "species": ["Ta", "Ta", "Ta", "Cu", "Rh"],
  "fractional_positions": [[0.000, 0.000, 0.500], [0.000, 0.500, 0.000], [0.500, 0.000, 0.000], [0.000, 0.000, 0.000], [0.500, 0.500, 0.500]],
  "e_form_ev_per_atom": 1.215
}

No. 4
{
  "formula": "ZnIBr3",
  "functional": "PBE-GGA",
  "state": "relaxed",
  "lattice": [[5.254, 0.000, 0.000], [0.000, 5.254, 0.000], [0.000, 0.000, 5.254]],
  "species": ["Zn", "I", "Br", "Br", "Br"],
  "fractional_positions": [[0.000, 0.000, 0.000], [0.500, 0.500, 0.500], [0.000, 0.000, 0.500], [0.000, 0.500, 0.000], [0.500, 0.000, 0.000]],
  "formation_energy_uncorrected_mev_per_atom": -110
}

No. 5
{
  "formula": "PdPbC3",
  "functional": "PBE-GGA",
  "state": "relaxed",
  "lattice": [[4.417, 0.000, 0.000], [0.000, 4.417, 0.000], [0.000, 0.000, 4.417]],
  "species": ["Pd", "Pb", "C", "C", "C"],
  "fractional_positions": [[0.000, 0.000, 0.000], [0.500, 0.500, 0.500], [0.000, 0.500, 0.500], [0.500, 0.000, 0.500], [0.500, 0.500, 0.000]],
  "e_form_ev_per_atom": 3.498
}

No. 6
{
  "formula": "LaFeTc",
  "functional": "PBE-GGA",
  "state": "relaxed",
  "lattice": [[0.000, 3.189, 3.189], [3.189, 0.000, 3.189], [3.189, 3.189, 0.000]],
  "species": ["La", "Fe", "Tc"],
  "fractional_positions": [[0.000, 0.000, 0.000], [0.500, 0.500, 0.500], [0.750, 0.750, 0.750]],
  "e_form_ev_per_atom": 0.648
}

| no. | final energy (Ry per atom) | magnetization (μB per atom) |
| --- | --- | --- |
| 1 | -0.415 | 0.239 |
| 2 | -0.441 | 1.164 |
| 3 | -0.602 | 0.000 |
| 4 | -0.123 | 0.400 |
| 5 | -0.280 | 0.000 |
| 6 | -0.534 | 1.174 |